VASP calculation (PBE) on a relaxed CsTaAgTe3 crystal.

Summary:
Calculated density   6.9 g/cm³
M_tot   0.11 μB/atom
Crystal system   orthorhombic
Total energy   -4.5168 eV per atom

a = 4.086 Å, b = 17.367 Å, c = 10.984 Å
α = 90.00°, β = 90.00°, γ = 90.00°
Space group Cmcm (No. 63)
One atom of each set of equivalent atoms:
Cs 0.000 0.242 0.250
Ta 0.000 0.000 0.000
Ag 0.000 0.458 0.750
Te 0.000 0.066 0.750
Te 0.000 0.386 0.530

VASP calculation (PBE) on a relaxed CsTbAg crystal.

Summary:
Calculated density   6.4 g/cm³
M_tot   0.01 μB/atom
Crystal system   cubic
Total energy   -1.6649 eV per atom

a = 7.456 Å, b = 7.456 Å, c = 7.456 Å
α = 90.00°, β = 90.00°, γ = 90.00°
Space group F-43m (No. 216)
One atom of each set of equivalent atoms:
Cs 0.000 0.000 0.000
Tb 0.250 0.250 0.750
Ag 0.250 0.250 0.250

VASP calculation (PBE) on a relaxed Cs2TcAg2Te4 crystal.

Summary:
Calculated density   5.5 g/cm³
M_tot   0.33 μB/atom
Crystal system   orthorhombic
Total energy   -3.7349 eV per atom

a = 6.586 Å, b = 15.200 Å, c = 6.560 Å
α = 90.00°, β = 90.00°, γ = 90.00°
Space group C222 (No. 21)
One atom of each set of equivalent atoms:
Cs 0.250 0.250 0.242
Tc 0.000 0.000 0.500
Ag 0.000 0.000 0.000
Ag 0.000 0.500 0.500
Te 0.228 0.105 0.727

VASP calculation (PBE) on a relaxed Cs2AgTe2 crystal.

Summary:
Calculated density   4.8 g/cm³
Crystal system   monoclinic
Total energy   -2.8042 eV per atom

a = 13.609 Å, b = 4.282 Å, c = 7.697 Å
α = 90.00°, β = 101.70°, γ = 90.00°
Space group C2/m (No. 12)
One atom of each set of equivalent atoms:
Cs 0.156 0.000 0.211
Ag 0.000 0.500 0.500
Te 0.107 0.000 0.696

VASP calculation (PBE) on a relaxed CsAgTe2 crystal.

Summary:
Calculated density   5.3 g/cm³
Crystal system   monoclinic
Total energy   -3.0109 eV per atom

a = 10.911 Å, b = 7.443 Å, c = 7.660 Å
α = 90.00°, β = 96.92°, γ = 90.00°
Space group C2/m (No. 12)
One atom of each set of equivalent atoms:
Cs 0.214 0.000 0.193
Ag 0.000 0.300 0.500
Te 0.109 0.500 0.236
Te 0.131 0.000 0.670

VASP calculation (PBE) on a relaxed CsTmAgTe3 crystal.

Summary:
Calculated density   6.2 g/cm³
M_tot   0.00 μB/atom
Crystal system   orthorhombic
Total energy   -3.8439 eV per atom

a = 4.269 Å, b = 17.615 Å, c = 11.351 Å
α = 90.00°, β = 90.00°, γ = 90.00°
Space group Cmcm (No. 63)
One atom of each set of equivalent atoms:
Cs 0.000 0.248 0.250
Tm 0.000 0.000 0.000
Ag 0.000 0.462 0.750
Te 0.000 0.068 0.750
Te 0.000 0.379 0.543